# 1
! RbMgZn2Ni, optimized geometry, DFT PBE; values from VASP
! **Magnetization**: 0.000 μB per atom
! **Symmetry**: P4/mmm (123)
! **N(E_F)**: 0.310 states/eV per atom
! **DFT formation energy**: 28 kJ/mol of formula units
&SYSTEM
  ibrav = 0, nat = 5, ntyp = 4
/
ATOMIC_SPECIES
Ni 58.69 Ni.upf
Zn 65.41 Zn.upf
Mg 24.30 Mg.upf
Rb 85.47 Rb.upf
CELL_PARAMETERS angstrom
4.879 0.000 0.000
0.000 4.879 0.000
0.000 0.000 4.977
ATOMIC_POSITIONS crystal
Ni 0.000 0.000 0.000
Zn 0.000 0.500 0.000
Zn 0.500 0.000 0.000
Mg 0.000 0.000 0.500
Rb 0.500 0.500 0.500


# 2
! Mg2Ag2Hg, optimized geometry, DFT PBE; values from VASP
! **Magnetization**: 0.000 μB per atom
! **Symmetry**: C2/m (12)
! **N(E_F)**: 0.191 states/eV per atom
! **DFT formation energy**: -79 kJ/mol of formula units
&SYSTEM
  ibrav = 0, nat = 10, ntyp = 3
/
ATOMIC_SPECIES
Mg 24.30 Mg.upf
Ag 107.87 Ag.upf
Hg 200.59 Hg.upf
CELL_PARAMETERS angstrom
4.066 0.000 1.228
1.554 4.342 2.199
-1.142 1.366 11.125
ATOMIC_POSITIONS crystal
Mg 0.443 0.762 0.853
Mg 0.942 0.262 0.353
Mg 0.557 0.238 0.147
Mg 0.058 0.738 0.647
Ag 0.357 0.237 0.549
Ag 0.143 0.263 0.951
Ag 0.643 0.763 0.451
Ag 0.857 0.737 0.049
Hg 0.249 0.750 0.250
Hg 0.751 0.250 0.750


# 3
! PmTiZn4, optimized geometry, DFT PBE; values from VASP
! **Magnetization**: 0.000 μB per atom
! **Symmetry**: P6/mmm (191)
! **N(E_F)**: 0.994 states/eV per atom
! **DFT formation energy**: -152 kJ/mol of formula units
&SYSTEM
  ibrav = 0, nat = 6, ntyp = 3
/
ATOMIC_SPECIES
Pm 145.00 Pm.upf
Ti 47.87 Ti.upf
Zn 65.41 Zn.upf
CELL_PARAMETERS angstrom
-2.808 -3.090 1.067
4.015 -1.046 -1.168
2.040 0.433 6.624
ATOMIC_POSITIONS crystal
Pm 0.000 0.000 0.500
Ti 0.000 0.000 0.000
Zn 0.333 0.667 0.198
Zn 0.333 0.667 0.802
Zn 0.667 0.333 0.198
Zn 0.667 0.333 0.802


# 4
! CrFe2Se, optimized geometry, DFT PBE; values from VASP
! **Magnetization**: 0.972 μB per atom
! **Symmetry**: Fm-3m (225)
! **N(E_F)**: 1.013 states/eV per atom
! **ΔE_f (raw)**: 1.458 eV per formula unit
&SYSTEM
  ibrav = 0, nat = 4, ntyp = 3
/
ATOMIC_SPECIES
Cr 52.00 Cr.upf
Fe 55.84 Fe.upf
Se 78.96 Se.upf
CELL_PARAMETERS angstrom
-2.341 1.012 3.191
-1.021 3.905 0.627
-3.850 1.226 -0.599
ATOMIC_POSITIONS crystal
Cr 0.000 0.000 0.000
Fe 0.250 0.250 0.250
Fe 0.750 0.750 0.750
Se 0.500 0.500 0.500


# 5
! Tb4InPbO, optimized geometry, DFT PBE; values from VASP
! **Magnetization**: 0.000 μB per atom
! **Symmetry**: Cmcm (63)
! **N(E_F)**: 0.636 states/eV per atom
! **ΔE_f (raw)**: -7.990 eV per formula unit
&SYSTEM
  ibrav = 0, nat = 14, ntyp = 4
/
ATOMIC_SPECIES
Tb 158.93 Tb.upf
In 114.82 In.upf
Pb 207.20 Pb.upf
O 16.00 O.upf
CELL_PARAMETERS angstrom
6.533 0.000 0.000
0.000 6.518 0.000
-3.267 0.000 8.543
ATOMIC_POSITIONS crystal
Tb 0.931 0.250 0.863
Tb 0.416 0.750 0.833
Tb 0.069 0.750 0.137
Tb 0.584 0.250 0.167
Tb 0.500 0.500 0.500
Tb 0.000 0.000 0.500
Tb 0.500 0.000 0.500
Tb 0.000 0.500 0.500
In 0.114 0.250 0.228
In 0.886 0.750 0.772
Pb 0.608 0.750 0.217
Pb 0.392 0.250 0.783
O 0.274 0.750 0.547
O 0.726 0.250 0.453


# 6
! ScTa2Al, optimized geometry, DFT PBE; values from VASP
! **Magnetization**: 0.000 μB per atom
! **Symmetry**: Pm (6)
! **N(E_F)**: 0.708 states/eV per atom
! **DFT formation energy**: -9 kJ/mol of formula units
&SYSTEM
  ibrav = 0, nat = 4, ntyp = 3
/
ATOMIC_SPECIES
Sc 44.96 Sc.upf
Al 26.98 Al.upf
Ta 180.95 Ta.upf
CELL_PARAMETERS angstrom
4.445 0.000 0.000
0.000 2.889 0.208
0.000 1.323 5.912
ATOMIC_POSITIONS crystal
Sc 0.500 0.792 0.758
Al 0.000 0.491 0.483
Ta 0.000 0.049 0.007
Ta 0.500 0.167 0.252


# 7
! Mn4CdPt, optimized geometry, DFT PBE; values from VASP
! **Magnetization**: 1.262 μB per atom
! **Symmetry**: F-43m (216)
! **N(E_F)**: 1.621 states/eV per atom
! **DFT formation energy**: 129 kJ/mol of formula units
&SYSTEM
  ibrav = 0, nat = 6, ntyp = 3
/
ATOMIC_SPECIES
Mn 54.94 Mn.upf
Cd 112.41 Cd.upf
Pt 195.08 Pt.upf
CELL_PARAMETERS angstrom
0.000 3.443 3.443
3.443 0.000 3.443
3.443 3.443 0.000
ATOMIC_POSITIONS crystal
Mn 0.625 0.625 0.124
Mn 0.625 0.124 0.625
Mn 0.625 0.625 0.625
Mn 0.124 0.625 0.625
Cd 0.000 0.000 0.000
Pt 0.250 0.250 0.250


# 8
! BaZrNb2O8, optimized geometry, DFT PBE; values from VASP
! **Magnetization**: 0.000 μB per atom
! **Symmetry**: P-3m1 (164)
! **N(E_F)**: 0.000 states/eV per atom
! **ΔE_f (raw)**: -34.076 eV per formula unit
&SYSTEM
  ibrav = 0, nat = 12, ntyp = 4
/
ATOMIC_SPECIES
Ba 137.33 Ba.upf
Zr 91.22 Zr.upf
Nb 92.91 Nb.upf
O 16.00 O.upf
CELL_PARAMETERS angstrom
-1.600 0.102 -5.772
3.261 -4.554 2.124
-6.166 -3.649 1.645
ATOMIC_POSITIONS crystal
Ba 0.000 0.000 0.000
Zr 0.000 0.000 0.500
Nb 0.667 0.333 0.246
Nb 0.333 0.667 0.754
O 0.333 0.667 0.999
O 0.316 0.159 0.320
O 0.841 0.157 0.320
O 0.667 0.333 0.001
O 0.159 0.843 0.680
O 0.684 0.841 0.680
O 0.157 0.316 0.680
O 0.843 0.684 0.320